This record from the Alexandria database describes an optimized crystal structure of Gd3ErNi4. The functional is PBE.

Lattice parameters (Å, degrees): 3.711 4.273 10.220 90.00 90.00 90.00
Atoms (fractional coordinates):
Gd 0.000 0.000 0.000
Gd 0.000 0.500 0.280
Gd 0.500 0.500 0.774
Er 0.500 0.000 0.499
Ni 0.000 0.000 0.707
Ni 0.000 0.500 0.563
Ni 0.500 0.000 0.214
Ni 0.500 0.500 0.066

total magnetization: 0.90 μB/atom
symmetry: Pmm2 (25)
calculated formation energy: -0.43 eV per atom